Entry 1:
Material: TbThAlGe
Method: DFT, PBE-GGA
State: optimized geometry

a b c (Å): 4.078 4.421 11.113
angles (deg): 90.00 90.00 90.00
Space group Amm2 (No. 38)
Inequivalent atoms, fractional coordinates:
Tb (0.000, 0.000, 0.000) [2 per cell]
Th (0.500, 0.000, 0.716) [2 per cell]
Al (0.000, 0.000, 0.287) [2 per cell]
Ge (0.500, 0.000, 0.436) [2 per cell]

Results
DFT formation energy, kJ/mol of formula units: -238

Entry 2:
Material: PmMgSbAu
Method: DFT, PBE-GGA
State: optimized geometry

a b c (Å): 7.314 7.314 7.314
angles (deg): 90.00 90.00 90.00
Space group F-43m (No. 216)
Inequivalent atoms, fractional coordinates:
Pm (0.000, 0.000, 0.000) [4 per cell]
Mg (0.000, 0.000, 0.500) [4 per cell]
Sb (0.250, 0.250, 0.750) [4 per cell]
Au (0.250, 0.250, 0.250) [4 per cell]

Results
Total energy, eV/atom: -4.023

Entry 3:
Material: Mg6ZnAu5
Method: DFT, PBE-GGA
State: optimized geometry

a b c (Å): 14.658 6.658 4.646
angles (deg): 90.00 107.48 90.00
Space group C2/m (No. 12)
Inequivalent atoms, fractional coordinates:
Mg (0.000, 0.243, 0.000) [4 per cell]
Mg (0.169, 0.247, 0.669) [8 per cell]
Zn (0.000, 0.500, 0.500) [2 per cell]
Au (0.000, 0.000, 0.500) [2 per cell]
Au (0.159, 0.500, 0.161) [4 per cell]
Au (0.169, 0.000, 0.169) [4 per cell]

Results
DFT formation energy, kJ/mol of formula units: -615

Entry 4:
Material: CaTb3Au2
Method: DFT, PBE-GGA
State: optimized geometry

a b c (Å): 4.961 8.969 7.360
angles (deg): 90.00 90.00 90.00
Space group Pmc2_1 (No. 26)
Inequivalent atoms, fractional coordinates:
Ca (0.000, 0.073, 0.000) [2 per cell]
Tb (0.000, 0.330, 0.631) [2 per cell]
Tb (0.500, 0.176, 0.333) [2 per cell]
Tb (0.500, 0.426, 0.965) [2 per cell]
Au (0.000, 0.355, 0.234) [2 per cell]
Au (0.500, 0.152, 0.728) [2 per cell]

Results
DFT formation energy, kJ/mol of formula units: -355

Entry 5:
Material: Ga2Pb2Au
Method: DFT, PBE-GGA
State: optimized geometry

a b c (Å): 6.883 6.883 5.015
angles (deg): 90.00 90.00 90.00
Space group P4/mbm (No. 127)
Inequivalent atoms, fractional coordinates:
Ga (0.137, 0.363, 0.000) [4 per cell]
Pb (0.180, 0.680, 0.500) [4 per cell]
Au (0.000, 0.000, 0.000) [2 per cell]

Results
DFT formation energy, kJ/mol of formula units: -22
Excess energy over the best structure of this formula in the dataset, meV per atom: 0

Entry 6:
Material: Sr2Zn5Ni4
Method: DFT, PBE-GGA
State: optimized geometry

a b c (Å): 12.393 5.464 7.846
angles (deg): 90.00 128.28 90.00
Space group C2/m (No. 12)
Inequivalent atoms, fractional coordinates:
Sr (0.229, 0.000, 0.297) [4 per cell]
Zn (0.000, 0.500, 0.000) [2 per cell]
Zn (0.052, 0.244, 0.763) [8 per cell]
Ni (0.114, 0.000, 0.562) [4 per cell]
Ni (0.222, 0.500, 0.062) [4 per cell]

Results
DFT formation energy, kJ/mol of formula units: -167

Entry 7:
Material: KSrInI6
Method: DFT, PBE-GGA
State: optimized geometry

a b c (Å): 8.1530 8.1530 15.1476
angles (deg): 90.00 90.00 120.00
Space group P-31c (No. 163)
Inequivalent atoms, fractional coordinates:
K (0.0000, 0.0000, 0.0000) [2 per cell]
Sr (0.3333, 0.6667, 0.2500) [2 per cell]
In (0.3333, 0.6667, 0.7500) [2 per cell]
I (0.0308, 0.3804, 0.6343) [12 per cell]

Results
Total energy, eV/atom: -2.737

Entry 8:
Material: CaCu2Ge4O12
Method: DFT, PBE-GGA
State: optimized geometry

a b c (Å): 10.441 8.969 5.451
angles (deg): 90.00 109.76 90.00
Space group C2 (No. 5)
Inequivalent atoms, fractional coordinates:
Ca (0.000, 0.000, 0.000) [2 per cell]
Cu (0.000, 0.602, 0.000) [2 per cell]
Cu (0.000, 0.782, 0.500) [2 per cell]
Ge (0.216, 0.288, 0.051) [4 per cell]
Ge (0.224, 0.087, 0.581) [4 per cell]
O (0.097, 0.617, 0.369) [4 per cell]
O (0.103, 0.782, 0.877) [4 per cell]
O (0.131, 0.925, 0.436) [4 per cell]
O (0.136, 0.199, 0.747) [4 per cell]
O (0.154, 0.180, 0.255) [4 per cell]
O (0.176, 0.480, 0.053) [4 per cell]

Results
Total energy, eV/atom: -6.056

| no. | magnetic moment (μB/f.u.) |
| --- | --- |
| 1 | 0.000 |
| 2 | 0.000 |
| 3 | 0.000 |
| 4 | 0.000 |
| 5 | 0.000 |
| 6 | 0.000 |
| 7 | 0.000 |
| 8 | 0.178 |